# 1
VASP calculation (PBE-GGA) on a relaxed structure of K4TiCl6.

Lattice parameters (Å, degrees): 8.6266 8.6266 8.9405 90.00 90.00 90.00
Last column: nearest neighbours and their distance in Å.
Sites, in units of the cell vectors:
K: 0.8223 0.3223 0.2500  6 Cl 3.18-3.19
K: 0.8223 0.3223 0.7500  6 Cl 3.18-3.19
K: 0.3223 0.1777 0.2500  6 Cl 3.18-3.19
K: 0.3223 0.1777 0.7500  6 Cl 3.18-3.19
K: 0.1777 0.6777 0.2500  6 Cl 3.18-3.19
K: 0.6777 0.8223 0.7500  6 Cl 3.18-3.19
K: 0.1777 0.6777 0.7500  6 Cl 3.18-3.19
K: 0.6777 0.8223 0.2500  6 Cl 3.18-3.19
Ti: 0.5000 0.5000 0.0000  6 Cl 2.52-2.60
Ti: 0.0000 0.0000 0.5000  6 Cl 2.52-2.60
Cl: 0.0843 0.2894 0.5000  1 Ti 2.60
Cl: 0.9157 0.7106 0.5000  1 Ti 2.60
Cl: 0.5843 0.2106 0.0000  1 Ti 2.60
Cl: 0.0000 0.0000 0.2184  1 Ti 2.52
Cl: 0.5000 0.5000 0.2816  1 Ti 2.52
Cl: 0.7106 0.0843 0.5000  1 Ti 2.60
Cl: 0.5000 0.5000 0.7184  1 Ti 2.52
Cl: 0.4157 0.7894 0.0000  1 Ti 2.60
Cl: 0.0000 0.0000 0.7816  1 Ti 2.52
Cl: 0.2894 0.9157 0.5000  1 Ti 2.60
Cl: 0.2106 0.4157 0.0000  1 Ti 2.60
Cl: 0.7894 0.5843 0.0000  1 Ti 2.60

# 2
VASP calculation (PBE-GGA) on a relaxed structure of K3TiCl8.

Lattice parameters (Å, degrees): 7.0833 7.0833 8.6004 114.32 114.32 90.00
Last column: nearest neighbours and their distance in Å.
Sites, in units of the cell vectors:
Cl: 0.3192 0.3192 0.2150  1 Ti 2.60
Cl: 0.8957 0.8957 0.2150  1 Ti 2.60
Cl: 0.1043 0.1043 0.7850  1 Ti 2.60
Cl: 0.8957 0.3192 0.2150  1 Ti 2.60
Cl: 0.6808 0.6808 0.7850  1 Ti 2.60
Cl: 0.1043 0.6808 0.7850  1 Ti 2.60
Cl: 0.6808 0.1043 0.7850  1 Ti 2.60
Cl: 0.3192 0.8957 0.2150  1 Ti 2.60
Ti: 0.0000 0.0000 0.0000  8 Cl 2.60
K: 0.2500 0.7500 0.5000  8 Cl 3.22
K: 0.7500 0.2500 0.5000  8 Cl 3.22
K: 0.5000 0.5000 0.0000  8 Cl 3.26

Computed ΔE_f (raw), in the same sequence as the records: -1.77; -1.36 eV per atom.